# La5SmS8

Crystalline La5SmS8 at its relaxed geometry (GGA-PBEsol, the Alexandria database).

Computed properties:
Uncorrected energy (eV/f.u.): -97.84

Geometry as CIF:
```
data_La5SmS8
_chemical_formula_sum 'La10 Sm2 S16'
_space_group_name_H-M_alt 'I -4'
_space_group_IT_number 82
_cell_length_a 8.5673
_cell_length_b 8.5673
_cell_length_c 8.5509
_cell_angle_alpha 90.00
_cell_angle_beta 90.00
_cell_angle_gamma 90.00
loop_
_space_group_symop_operation_xyz
'x,y,z'
'y,-x,-z'
'-x,-y,z'
'-y,x,-z'
'x+1/2,y+1/2,z+1/2'
'y+1/2,-x+1/2,-z+1/2'
'-x+1/2,-y+1/2,z+1/2'
'-y+1/2,x+1/2,-z+1/2'
loop_
_atom_site_label
_atom_site_type_symbol
_atom_site_fract_x
_atom_site_fract_y
_atom_site_fract_z
_atom_site_occupancy
La1 La 0.0000 0.0000 0.0000 1
La2 La 0.1272 0.7495 0.6252 1
Sm1 Sm 0.0000 0.5000 0.2500 1
S1 S 0.0742 0.8229 0.2978 1
S2 S 0.0764 0.6716 0.9543 1
```

---

# LiMg2P

Crystalline LiMg2P at its relaxed geometry (GGA-PBEsol, the Alexandria database).

Computed properties:
Energy relative to the elements (eV/f.u.): -0.3
Uncorrected energy (eV/f.u.): -11.45

Geometry as CIF:
```
data_LiMg2P
_chemical_formula_sum 'Li2 Mg4 P2'
_space_group_name_H-M_alt 'C 1 2/m 1'
_space_group_IT_number 12
_cell_length_a 5.8675
_cell_length_b 9.7080
_cell_length_c 2.8262
_cell_angle_alpha 90.00
_cell_angle_beta 117.42
_cell_angle_gamma 90.00
loop_
_space_group_symop_operation_xyz
'x,y,z'
'-x,-y,-z'
'-x,y,-z'
'x,-y,z'
'x+1/2,y+1/2,z'
'-x+1/2,-y+1/2,-z'
'-x+1/2,y+1/2,-z'
'x+1/2,-y+1/2,z'
loop_
_atom_site_label
_atom_site_type_symbol
_atom_site_fract_x
_atom_site_fract_y
_atom_site_fract_z
_atom_site_occupancy
Li1 Li 0.0000 0.0000 0.0000 1
Mg1 Mg 0.2500 0.2500 0.5000 1
P1 P 0.0000 0.5000 0.0000 1
```

---

# Ta2AlAs

Crystalline Ta2AlAs at its relaxed geometry (GGA-PBEsol, the Alexandria database).

Computed properties:
Energy relative to the elements (eV/f.u.): -0.6
Uncorrected energy (eV/f.u.): -34.93

Geometry as CIF:
```
data_Ta2AlAs
_chemical_formula_sum 'Ta4 Al2 As2'
_space_group_name_H-M_alt 'I m m m'
_space_group_IT_number 71
_space_group_name_Hall '-I 2 2'
_cell_length_a 3.3279
_cell_length_b 4.7196
_cell_length_c 8.4004
_cell_angle_alpha 90.00
_cell_angle_beta 90.00
_cell_angle_gamma 90.00
loop_
_atom_site_label
_atom_site_type_symbol
_atom_site_fract_x
_atom_site_fract_y
_atom_site_fract_z
_atom_site_occupancy
Ta1 Ta 0.0000 0.0000 0.2403 1
Al1 Al 0.0000 0.5000 0.0000 1
As1 As 0.0000 0.5000 0.5000 1
```

---

# Sc2AgP

Crystalline Sc2AgP at its relaxed geometry (GGA-PBEsol, the Alexandria database).

Computed properties:
Energy relative to the elements (eV/f.u.): -3.1
Uncorrected energy (eV/f.u.): -25.37

Geometry as CIF:
```
data_Sc2AgP
_chemical_formula_sum 'Sc2 Ag1 P1'
_space_group_name_H-M_alt 'P -3 m 1'
_space_group_IT_number 164
_space_group_name_Hall '-P 3 2"'
_cell_length_a 3.7886
_cell_length_b 3.7886
_cell_length_c 6.3609
_cell_angle_alpha 90.00
_cell_angle_beta 90.00
_cell_angle_gamma 120.00
loop_
_atom_site_label
_atom_site_type_symbol
_atom_site_fract_x
_atom_site_fract_y
_atom_site_fract_z
_atom_site_occupancy
Sc1 Sc 0.3333 0.6667 0.2123 1
Ag1 Ag 0.0000 0.0000 0.5000 1
P1 P 0.0000 0.0000 0.0000 1
```

---

# Ca2Tl2Pb

Crystalline Ca2Tl2Pb at its relaxed geometry (GGA-PBEsol, the Alexandria database).

Computed properties:
Energy relative to the elements (eV/f.u.): -1.9
Uncorrected energy (eV/f.u.): -15.42

Geometry as CIF:
```
data_Ca2Tl2Pb
_chemical_formula_sum 'Ca4 Tl4 Pb2'
_space_group_name_H-M_alt 'P 4/m b m'
_space_group_IT_number 127
_space_group_name_Hall '-P 4 2ab'
_cell_length_a 8.5728
_cell_length_b 8.5728
_cell_length_c 3.9094
_cell_angle_alpha 90.00
_cell_angle_beta 90.00
_cell_angle_gamma 90.00
loop_
_atom_site_label
_atom_site_type_symbol
_atom_site_fract_x
_atom_site_fract_y
_atom_site_fract_z
_atom_site_occupancy
Ca1 Ca 0.1707 0.3293 0.0000 1
Tl1 Tl 0.1288 0.6288 0.5000 1
Pb1 Pb 0.0000 0.0000 0.5000 1
```

---

# LiBeP2

Crystalline LiBeP2 at its relaxed geometry (GGA-PBEsol, the Alexandria database).

Computed properties:
Energy relative to the elements (eV/f.u.): -0.1
Uncorrected energy (eV/f.u.): -17.69

Geometry as CIF:
```
data_LiBeP2
_chemical_formula_sum 'Li1 Be1 P2'
_space_group_name_H-M_alt 'P m m 2'
_space_group_IT_number 25
_cell_length_a 2.4151
_cell_length_b 3.8786
_cell_length_c 5.3771
_cell_angle_alpha 90.00
_cell_angle_beta 90.00
_cell_angle_gamma 90.00
loop_
_space_group_symop_operation_xyz
'x,y,z'
'-x,-y,z'
'-x,y,z'
'x,-y,z'
loop_
_atom_site_label
_atom_site_type_symbol
_atom_site_fract_x
_atom_site_fract_y
_atom_site_fract_z
_atom_site_occupancy
Li1 Li 0.0000 0.0000 0.0000 1
Be1 Be 0.5000 0.5000 0.2269 1
P1 P 0.5000 0.0000 0.4370 1
P2 P 0.5000 0.5000 0.8161 1
```